# 1
First-principles (PBE) data for a relaxed structure of Ce2SeS2, as listed in Alexandria via LeMat-Bulk.

Space group   Immm
Calculated density   4.54 g/cm3
DOS at the Fermi energy   13.263 states/eV/f.u.
ΔE_f (raw)   -1.903 eV per atom
DFT total energy   -33.123 eV for the cell shown
Energy relative to the lowest polymorph listed for this composition   0 meV/atom
Crystal system   orthorhombic

Unit cell a=4.223 b=5.489 c=7.528 alpha=111.38 beta=106.29 gamma=90.00
Site moments in Bohr magnetons follow the coordinates.
Element x y z (fractional)
Ce (0.342, 0.842, 0.685)  0.92
Ce (0.658, 0.158, 0.315)  0.92
S (0.297, 0.297, 0.594)  -0.03
S (0.703, 0.703, 0.406)  -0.03
Se (0.000, 0.000, 0.000)  -0.03



# 2
First-principles (PBE) data for a relaxed structure of Ce2SeS2, as listed in Alexandria via LeMat-Bulk.

Space group   I4/mmm
Calculated density   5.31 g/cm3
DOS at the Fermi energy   11.111 states/eV/f.u.
ΔE_f (raw)   -1.597 eV per atom
DFT total energy   -31.590 eV for the cell shown
Energy relative to the lowest polymorph listed for this composition   307 meV/atom
Crystal system   tetragonal

Unit cell a=4.410 b=4.410 c=7.485 alpha=107.13 beta=107.13 gamma=90.00
Site moments in Bohr magnetons follow the coordinates.
Element x y z (fractional)
Ce (0.368, 0.368, 0.736)  0.92
Ce (0.632, 0.632, 0.264)  0.92
S (0.250, 0.750, 0.500)  -0.04
S (0.750, 0.250, 0.500)  -0.04
Se (0.000, 0.000, 0.000)  -0.04



# 3
First-principles (PBE) data for a relaxed structure of Ce3Se2S, as listed in Alexandria via LeMat-Bulk.

Space group   C2/m
Calculated density   6.74 g/cm3
DOS at the Fermi energy   16.509 states/eV/f.u.
ΔE_f (raw)   -1.886 eV per atom
DFT total energy   -80.434 eV for the cell shown
Energy relative to the lowest polymorph listed for this composition   0 meV/atom
Crystal system   monoclinic

Unit cell a=7.161 b=7.161 c=7.184 alpha=99.58 beta=99.58 gamma=120.01
Site moments in Bohr magnetons follow the coordinates.
Element x y z (fractional)
S (0.001, 0.999, 0.000)  -0.02
S (0.666, 0.334, 0.000)  -0.02
Ce (0.253, 0.245, 0.761)  0.69
Ce (0.911, 0.587, 0.761)  0.69
Ce (0.413, 0.089, 0.239)  0.69
Ce (0.070, 0.403, 0.237)  0.67
Ce (0.597, 0.930, 0.763)  0.67
Ce (0.755, 0.747, 0.239)  0.69
Se (0.333, 0.667, 0.000)  -0.02
Se (0.833, 0.167, 0.500)  -0.02
Se (0.496, 0.504, 0.500)  -0.02
Se (0.170, 0.830, 0.500)  -0.02



# 4
First-principles (PBE) data for a relaxed structure of Ce4SeS3, as listed in Alexandria via LeMat-Bulk.

Space group   P-3m1
Calculated density   6.35 g/cm3
DOS at the Fermi energy   21.986 states/eV/f.u.
ΔE_f (raw)   -1.885 eV per atom
DFT total energy   -54.679 eV for the cell shown
Crystal system   trigonal

Unit cell a=3.978 b=3.978 c=14.048 alpha=90.00 beta=90.00 gamma=120.00
Site moments in Bohr magnetons follow the coordinates.
Element x y z (fractional)
Se (0.000, 0.000, 0.000)  -0.02
S (0.000, 0.000, 0.500)  -0.02
S (0.000, 0.000, 0.256)  -0.02
S (0.000, 0.000, 0.744)  -0.02
Ce (0.333, 0.667, 0.864)  0.82
Ce (0.667, 0.333, 0.136)  0.82
Ce (0.667, 0.333, 0.623)  0.69
Ce (0.333, 0.667, 0.377)  0.69



# 5
First-principles (PBE) data for a relaxed structure of Ce5Se4S, as listed in Alexandria via LeMat-Bulk.

Space group   I4/mmm
Calculated density   6.82 g/cm3
DOS at the Fermi energy   29.926 states/eV/f.u.
ΔE_f (raw)   -1.849 eV per atom
DFT total energy   -66.228 eV for the cell shown
Crystal system   tetragonal

Unit cell a=4.164 b=4.164 c=15.008 alpha=97.97 beta=97.97 gamma=90.00
Site moments in Bohr magnetons follow the coordinates.
Element x y z (fractional)
Se (0.801, 0.801, 0.603)  -0.02
Se (0.600, 0.600, 0.200)  -0.02
Se (0.199, 0.199, 0.397)  -0.02
Se (0.400, 0.400, 0.800)  -0.02
Ce (0.500, 0.500, 0.000)  0.69
Ce (0.700, 0.700, 0.401)  0.67
Ce (0.097, 0.097, 0.194)  0.63
Ce (0.300, 0.300, 0.599)  0.67
Ce (0.903, 0.903, 0.806)  0.63
S (0.000, 0.000, 0.000)  -0.02



# 6
First-principles (PBE) data for a relaxed structure of Ce2Se2S, as listed in Alexandria via LeMat-Bulk.

Space group   Immm
Calculated density   6.24 g/cm3
DOS at the Fermi energy   10.553 states/eV/f.u.
ΔE_f (raw)   -1.766 eV per atom
DFT total energy   -31.794 eV for the cell shown
Energy relative to the lowest polymorph listed for this composition   0 meV/atom
Crystal system   orthorhombic

Unit cell a=4.028 b=5.980 c=5.980 alpha=73.29 beta=70.32 gamma=70.32
Site moments in Bohr magnetons follow the coordinates.
Element x y z (fractional)
Ce (0.500, 0.742, 0.258)  0.77
Ce (0.500, 0.258, 0.742)  0.77
Se (0.811, 0.689, 0.689)  -0.03
Se (0.189, 0.311, 0.311)  -0.03
S (0.000, 0.000, 0.000)  -0.04



# 7
First-principles (PBE) data for a relaxed structure of Ce3Se2S, as listed in Alexandria via LeMat-Bulk.

Space group   Immm
Calculated density   6.75 g/cm3
DOS at the Fermi energy   16.843 states/eV/f.u.
ΔE_f (raw)   -1.881 eV per atom
DFT total energy   -40.184 eV for the cell shown
Energy relative to the lowest polymorph listed for this composition   5 meV/atom
Crystal system   orthorhombic

Unit cell a=4.126 b=5.857 c=7.175 alpha=114.09 beta=106.71 gamma=90.00
Site moments in Bohr magnetons follow the coordinates.
Element x y z (fractional)
S (0.500, 0.500, 0.500)  -0.02
Se (0.170, 0.170, 0.840)  -0.02
Se (0.830, 0.830, 0.160)  -0.02
Ce (0.158, 0.658, 0.816)  0.60
Ce (0.842, 0.342, 0.184)  0.60
Ce (0.500, 0.000, 0.500)  0.64



# 8
First-principles (PBE) data for a relaxed structure of Ce6SiSe3S2, as listed in Alexandria via LeMat-Bulk.

Space group   C2/m
Calculated density   6.43 g/cm3
DOS at the Fermi energy   32.193 states/eV/f.u.
ΔE_f (raw)   -1.695 eV per atom
DFT total energy   -80.079 eV for the cell shown
Crystal system   monoclinic

Unit cell a=4.137 b=8.304 c=9.285 alpha=103.49 beta=102.87 gamma=90.00
Site moments in Bohr magnetons follow the coordinates.
Element x y z (fractional)
Si (0.500, 0.000, 0.000)  -0.02
S (0.833, 0.666, 0.665)  -0.02
S (0.167, 0.334, 0.335)  -0.02
Ce (0.004, 0.247, 0.008)  0.51
Ce (0.670, 0.574, 0.340)  0.77
Ce (0.330, 0.426, 0.660)  0.77
Ce (0.335, 0.907, 0.670)  0.67
Ce (0.665, 0.093, 0.330)  0.67
Ce (0.996, 0.753, 0.992)  0.51
Se (0.834, 0.168, 0.669)  -0.02
Se (0.166, 0.832, 0.331)  -0.02
Se (0.500, 0.500, 0.000)  -0.02



# 9
First-principles (PBE) data for a relaxed structure of Ce4SiSeS2, as listed in Alexandria via LeMat-Bulk.

Space group   P2/m
Calculated density   6.17 g/cm3
DOS at the Fermi energy   18.588 states/eV/f.u.
ΔE_f (raw)   -1.627 eV per atom
DFT total energy   -53.915 eV for the cell shown
Crystal system   monoclinic

Unit cell a=4.115 b=7.105 c=7.138 alpha=70.53 beta=90.00 gamma=90.00
Site moments in Bohr magnetons follow the coordinates.
Element x y z (fractional)
Ce (0.000, 0.761, 0.742)  0.64
Ce (0.500, 0.242, 0.749)  0.46
Ce (0.500, 0.758, 0.251)  0.46
Ce (0.000, 0.239, 0.258)  0.64
Si (0.000, 0.500, 0.500)  -0.02
S (0.000, 0.000, 0.000)  -0.02
S (0.500, 0.000, 0.500)  -0.02
Se (0.500, 0.500, 0.000)  -0.02



# 10
First-principles (PBE) data for a relaxed structure of Ce4SiSe2S, as listed in Alexandria via LeMat-Bulk.

Space group   P2/m
Calculated density   6.34 g/cm3
DOS at the Fermi energy   20.690 states/eV/f.u.
ΔE_f (raw)   -1.581 eV per atom
DFT total energy   -52.902 eV for the cell shown
Crystal system   monoclinic

Unit cell a=4.158 b=7.249 c=7.173 alpha=70.59 beta=90.00 gamma=90.00
Site moments in Bohr magnetons follow the coordinates.
Element x y z (fractional)
Si (0.000, 0.500, 0.500)  -0.03
Ce (0.000, 0.737, 0.756)  0.73
Ce (0.500, 0.260, 0.749)  0.57
Ce (0.500, 0.740, 0.251)  0.57
Ce (0.000, 0.263, 0.244)  0.73
S (0.500, 0.500, 0.000)  -0.02
Se (0.500, 0.000, 0.500)  -0.02
Se (0.000, 0.000, 0.000)  -0.02



# 11
First-principles (PBE) data for a relaxed structure of Ce2SmSe2S2, as listed in Alexandria via LeMat-Bulk.

Space group   I4/mmm
Calculated density   5.31 g/cm3
DOS at the Fermi energy   14.123 states/eV/f.u.
ΔE_f (raw)   -1.581 eV per atom
DFT total energy   -42.877 eV for the cell shown
Crystal system   tetragonal

Unit cell a=5.227 b=5.227 c=8.340 alpha=108.26 beta=108.26 gamma=90.00
Site moments in Bohr magnetons follow the coordinates.
Element x y z (fractional)
S (0.500, 0.000, 0.000)  -0.02
S (0.000, 0.500, 0.000)  -0.02
Ce (0.379, 0.379, 0.758)  1.20
Ce (0.621, 0.621, 0.242)  1.20
Se (0.811, 0.811, 0.621)  -0.02
Se (0.189, 0.189, 0.379)  -0.02
Sm (0.000, 0.000, 0.000)  0.02



# 12
First-principles (PBE) data for a relaxed structure of CeSmSeS, as listed in Alexandria via LeMat-Bulk.

Space group   R3m
Calculated density   6.81 g/cm3
DOS at the Fermi energy   6.126 states/eV/f.u.
ΔE_f (raw)   -1.934 eV per atom
DFT total energy   -25.999 eV for the cell shown
Crystal system   trigonal

Unit cell a=4.087 b=4.087 c=7.164 alpha=73.43 beta=73.43 gamma=60.00
Site moments in Bohr magnetons follow the coordinates.
Element x y z (fractional)
Sm (0.256, 0.256, 0.231)  0.00
Ce (0.744, 0.744, 0.768)  0.77
Se (0.501, 0.501, 0.498)  -0.01
S (0.999, 0.999, 0.003)  -0.01



Q: Look up the DFT total energy of the sixth one.
A: -31.794 eV for the cell shown



Q: Number 3 is which compound?
A: Ce3Se2S